## LaTe2Br (PBE-GGA)

Data for a relaxed LaTe2Br crystal.

Results
Energy relative to the lowest polymorph listed for this composition = 373 meV/atom
Raw total energy = -4.0435 eV per atom
Mass density = 6.54 g/cm³
Formation energy from raw total energies = -823 meV/atom

Cell: 7.8385 7.8385 7.8385 Å, 90.00 90.00 90.00°
Space group F-43m (No. 216)
Inequivalent atoms, fractional coordinates:
La: 0.0000 0.0000 0.0000
Te: 0.0000 0.0000 0.5000
Te: 0.2500 0.2500 0.2500
Br: 0.2500 0.2500 0.7500